# TiVSi2O8, optimized geometry, DFT GGA+U
# theoretical density = 3.92 Mg/m³
# calculated total energy = -7.954 eV/atom
data_TiVSi2O8
_chemical_formula_sum 'Ti2 V2 Si4 O16'
_cell_length_a 6.390
_cell_length_b 6.390
_cell_length_c 5.864
_cell_angle_alpha 90.00
_cell_angle_beta 90.00
_cell_angle_gamma 90.00
_symmetry_space_group_name_H-M 'I -4 m 2'
_symmetry_Int_Tables_number 119
_symmetry_space_group_name_Hall 'I -4 -2'
loop_
_atom_site_label
_atom_site_type_symbol
_atom_site_fract_x
_atom_site_fract_y
_atom_site_fract_z
Ti1 Ti 0.000 0.000 0.000
V1 V 0.000 0.500 0.250
Si1 Si 0.000 0.000 0.500
Si2 Si 0.000 0.500 0.750
O1 O 0.000 0.187 0.311
O2 O 0.000 0.314 0.941